Entry 1:
The following is a DFT calculation (PBE-GGA) of GeAuBrN2 after structural relaxation.

abc: 4.0435 6.7413 4.0435
angles: 90.00 90.00 90.00
Last column: nearest neighbours and their distance in Å.
Fractional positions:
N 0.5000 0.0000 0.0000  2 Au 2.02
N 0.0000 0.0000 0.5000  2 Au 2.02
Ge 0.5000 0.5000 0.5000  4 Br 2.86
Br 0.0000 0.5000 0.0000  4 Ge 2.86
Au 0.0000 0.0000 0.0000  4 N 2.02

Output
Total DFT energy (no corrections)   -3.6462 eV/atom
Total magnetization   2.43 μB per formula unit
Raw formation energy   1.60 eV per atom

***

Entry 2:
The following is a DFT calculation (PBE-GGA) of Cd2WN2 after structural relaxation.

abc: 5.6530 5.6530 4.9382
angles: 90.00 90.00 90.00
Last column: nearest neighbours and their distance in Å.
Fractional positions:
Cd 0.1818 0.6818 0.5000  2 N 2.52
W 0.5000 0.5000 0.0000  4 N 2.00
W 0.0000 0.0000 0.0000  4 N 2.00
Cd 0.6818 0.8182 0.5000  2 N 2.52
N 0.2424 0.7424 0.0000  2 W 2.00
N 0.2576 0.2424 0.0000  2 W 2.00
N 0.7424 0.7576 0.0000  2 W 2.00
Cd 0.8182 0.3182 0.5000  2 N 2.52
Cd 0.3182 0.1818 0.5000  2 N 2.52
N 0.7576 0.2576 0.0000  2 W 2.00

Output
Energy above the lowest structure with this stoichiometry   0.000 eV per atom
Total DFT energy (no corrections)   -5.8587 eV/atom
Total magnetization   0.00 μB per formula unit
Raw formation energy   0.43 eV per atom

***

Entry 3:
The following is a DFT calculation (PBE-GGA) of CsRbPbF6 after structural relaxation.

abc: 6.8187 6.8186 5.6127
angles: 90.02 89.98 59.93
Last column: nearest neighbours and their distance in Å.
Fractional positions:
F 0.3352 0.5909 0.2917  1 Pb 2.12
F 0.0741 0.3346 0.2919  1 Pb 2.12
Rb 0.6665 0.6665 0.4999  6 F 2.81
Pb 0.3333 0.3334 0.5000  6 F 2.12
F 0.3347 0.0741 0.7081  1 Pb 2.12
F 0.5908 0.3354 0.7083  1 Pb 2.12
F 0.5920 0.0733 0.2926  1 Pb 2.12
F 0.0732 0.5920 0.7074  1 Pb 2.12
Cs 0.9999 0.0000 0.9999  6 F 3.05

Output
Total DFT energy (no corrections)   -4.2908 eV/atom
Total magnetization   0.16 μB per formula unit
Raw formation energy   -2.43 eV per atom

***

Entry 4:
The following is a DFT calculation (PBE-GGA) of Na10B17C3 after structural relaxation.

abc: 9.1989 9.1989 13.7920
angles: 111.86 111.86 17.66
Last column: nearest neighbours and their distance in Å.
Fractional positions:
B 0.8315 0.8315 0.9116  3 B 1.67-1.77
B 0.0374 0.0374 0.3260  2 C 1.62, 1 B 1.74
Na 0.0004 0.0004 0.5014  8 B 2.66-2.80, 4 C 2.73-2.75, 2 Na 2.82
B 0.7688 0.7688 0.7867  3 B 1.67-1.78
B 0.6256 0.6256 0.0005  3 B 1.78-1.79
B 0.9725 0.9725 0.1956  3 B 1.74
B 0.1649 0.1649 0.5808  3 B 1.67-1.76
C 0.4366 0.4366 0.6222  3 B 1.56-1.64
C 0.5667 0.5667 0.3853  3 B 1.56-1.62
B 0.5587 0.5587 0.8667  2 C 1.63, 1 B 1.79
Na 0.7998 0.7998 0.6012  10 B 2.68-2.94, 2 C 2.78, 2 Na 2.82
Na 0.5996 0.5996 0.1993  11 B 2.69-2.95, 2 Na 2.82, 1 C 2.84
B 0.4345 0.4345 0.1186  3 B 1.69-1.74
B 0.1662 0.1662 0.0823  3 B 1.70-1.78
Na 0.5995 0.5995 0.6989  9 B 2.68-2.93, 3 C 2.70-2.74, 4 Na 2.82-2.99
B 0.3715 0.3715 0.9918  3 B 1.69-1.77
C 0.0283 0.0283 0.8059  3 B 1.62-1.63
Na 0.2006 0.2006 0.4006  10 B 2.68-2.99, 2 C 2.75, 2 Na 2.82
B 0.2295 0.2295 0.2100  3 B 1.70-1.82
Na 0.0002 0.0002 0.9994  11 B 2.68-2.93, 2 Na 2.82, 1 C 2.90
B 0.9675 0.9675 0.6843  3 C 1.62-1.64
Na 0.4003 0.4003 0.7995  9 B 2.67-2.91, 3 C 2.70-2.76, 2 Na 2.82
Na 0.4009 0.4009 0.3019  11 B 2.70-2.99, 1 C 2.79, 4 Na 2.82-3.01
Na 0.1988 0.1988 0.8981  11 B 2.68-2.91, 2 Na 2.82, 1 C 2.87
Na 0.8002 0.8002 0.1001  12 B 2.71-2.95, 2 Na 2.82
B 0.8360 0.8360 0.4221  3 B 1.68-1.80
B 0.7729 0.7729 0.2965  3 B 1.68-1.82
B 0.6252 0.6252 0.5019  1 C 1.56
B 0.3778 0.3778 0.5053  1 C 1.56
B 0.2275 0.2275 0.7054  3 B 1.67-1.78

Output
Energy above the lowest structure with this stoichiometry   0.005 eV per atom
Total DFT energy (no corrections)   -4.9358 eV/atom
Total magnetization   0.00 μB per formula unit